TcHgOs2: optimized geometry, PBE.

Properties
Energy relative to the elements, meV/atom: 720
Total magnetic moment, μB per formula unit: 0.0
Calculated total energy, eV per atom: -7.56

Unit cell a=2.7666 b=2.7666 c=9.7283 alpha=90.00 beta=90.00 gamma=118.69
Last column: nearest neighbours and their distance in Å.
Element x y z (fractional)
Hg1 0.5000 0.5000 0.7500  6 Hg 2.77-2.82, 4 Os 3.01
Os1 0.0000 0.0000 0.0231  2 Tc 2.62, 6 Os 2.77-2.82
Os2 0.0000 0.0000 0.4769  2 Tc 2.62, 6 Os 2.77-2.82
Tc1 0.5000 0.5000 0.2500  4 Os 2.62, 6 Tc 2.77-2.82